# ScRhAuCl2

A relaxed structure of ScRhAuCl2 (PBE, the Alexandria database).

Lattice parameters (Å, degrees): 4.7785 4.7785 5.1729 90.00 90.00 90.00
Site moments in Bohr magnetons follow the coordinates.
Positions (direct):
1 Sc 0.0000 0.0000 0.0000  -0.01
2 Rh 0.0000 0.0000 0.5000  0.10
3 Au 0.5000 0.5000 0.5000  0.01
4 Cl 0.0000 0.5000 0.0000  0.00
5 Cl 0.5000 0.0000 0.0000  0.00

Output
The value obtained for the density of states at the Fermi level is 3.49 states/eV/f.u. The calculation puts the raw formation energy at -0.23 eV per atom. The uncorrected energy comes out at -4.36 eV per atom. The symmetry is P4/mmm, No. 123. The value obtained for the magnetic moment is 0.021 μB per atom.